(1)
Material: CoAg2Cl5
Method: DFT, PBE
State: optimized geometry

Lattice parameters (Å, degrees): 10.998 11.169 7.809 90.00 90.00 90.00
Element x y z (fractional)
Co 0.238 0.246 0.000
Co 0.262 0.746 0.500
Co 0.738 0.254 0.500
Co 0.762 0.754 0.000
Ag 0.000 0.000 0.257
Ag 0.000 0.000 0.743
Ag 0.145 0.625 0.000
Ag 0.355 0.125 0.500
Ag 0.500 0.500 0.243
Ag 0.500 0.500 0.757
Ag 0.645 0.875 0.500
Ag 0.855 0.375 0.000
Cl 0.096 0.386 0.000
Cl 0.129 0.093 0.500
Cl 0.144 0.766 0.274
Cl 0.144 0.766 0.726
Cl 0.145 0.067 0.000
Cl 0.355 0.567 0.500
Cl 0.356 0.266 0.226
Cl 0.356 0.266 0.774
Cl 0.371 0.593 0.000
Cl 0.404 0.886 0.500
Cl 0.596 0.114 0.500
Cl 0.629 0.407 0.000
Cl 0.644 0.734 0.226
Cl 0.644 0.734 0.774
Cl 0.645 0.433 0.500
Cl 0.855 0.933 0.000
Cl 0.856 0.234 0.274
Cl 0.856 0.234 0.726
Cl 0.871 0.907 0.500
Cl 0.904 0.614 0.000

Values from the calculation:
D(E_F) ... 6.6 states/eV/f.u.
Electronic total energy ... -3.24 eV per atom
Space-group type ... Pnnm (58)

=====

(2)
Material: CoAgCl3
Method: DFT, PBE
State: optimized geometry

Lattice parameters (Å, degrees): 5.028 5.028 5.028 90.00 90.00 90.00
Element x y z (fractional)
Co 0.000 0.000 0.000
Ag 0.500 0.500 0.500
Cl 0.000 0.500 0.500
Cl 0.500 0.000 0.500
Cl 0.500 0.500 0.000

Values from the calculation:
D(E_F) ... 10.5 states/eV/f.u.
Electronic total energy ... -2.73 eV per atom
Space-group type ... Pm-3m (221)

=====

(3)
Material: CoAg2Cl5
Method: DFT, PBE
State: optimized geometry

Lattice parameters (Å, degrees): 7.075 7.075 12.428 90.00 90.00 141.09
Element x y z (fractional)
Co 0.180 0.820 0.750
Co 0.820 0.180 0.250
Ag 0.136 0.864 0.071
Ag 0.136 0.864 0.429
Ag 0.864 0.136 0.571
Ag 0.864 0.136 0.929
Cl 0.061 0.939 0.624
Cl 0.061 0.939 0.876
Cl 0.296 0.704 0.250
Cl 0.302 0.698 0.619
Cl 0.302 0.698 0.881
Cl 0.698 0.302 0.119
Cl 0.698 0.302 0.381
Cl 0.704 0.296 0.750
Cl 0.939 0.061 0.124
Cl 0.939 0.061 0.376

Values from the calculation:
D(E_F) ... 8.1 states/eV/f.u.
Electronic total energy ... -3.19 eV per atom
Space-group type ... Cmcm (63)

=====

(4)
Material: CoAgCl4
Method: DFT, PBE
State: optimized geometry

Lattice parameters (Å, degrees): 5.924 5.924 10.575 90.00 90.00 90.00
Element x y z (fractional)
Co 0.000 0.500 0.250
Co 0.500 0.000 0.750
Ag 0.000 0.000 0.000
Ag 0.000 0.000 0.500
Cl 0.220 0.288 0.367
Cl 0.220 0.712 0.133
Cl 0.288 0.220 0.867
Cl 0.288 0.780 0.633
Cl 0.712 0.220 0.633
Cl 0.712 0.780 0.867
Cl 0.780 0.288 0.133
Cl 0.780 0.712 0.367

Values from the calculation:
D(E_F) ... 5.3 states/eV/f.u.
Electronic total energy ... -3.40 eV per atom
Space-group type ... P-42c (112)

=====

(5)
Material: Co5Ag3Cl12
Method: DFT, PBE
State: optimized geometry

Lattice parameters (Å, degrees): 13.162 13.162 13.162 109.47 109.47 109.47
Element x y z (fractional)
Co 0.000 0.000 0.000
Co 0.000 0.000 0.500
Co 0.000 0.500 0.000
Co 0.000 0.500 0.500
Co 0.125 0.750 0.875
Co 0.125 0.875 0.250
Co 0.250 0.125 0.875
Co 0.250 0.625 0.375
Co 0.375 0.250 0.625
Co 0.375 0.625 0.750
Co 0.500 0.000 0.000
Co 0.500 0.000 0.500
Co 0.500 0.500 0.000
Co 0.500 0.500 0.500
Co 0.625 0.375 0.250
Co 0.625 0.750 0.375
Co 0.750 0.375 0.625
Co 0.750 0.875 0.125
Co 0.875 0.125 0.750
Co 0.875 0.250 0.125
Ag 0.125 0.250 0.375
Ag 0.125 0.375 0.750
Ag 0.250 0.375 0.125
Ag 0.250 0.875 0.625
Ag 0.375 0.125 0.250
Ag 0.375 0.750 0.125
Ag 0.625 0.250 0.875
Ag 0.625 0.875 0.750
Ag 0.750 0.125 0.375
Ag 0.750 0.625 0.875
Ag 0.875 0.625 0.250
Ag 0.875 0.750 0.625
Cl 0.024 0.203 0.120
Cl 0.024 0.322 0.904
Cl 0.083 0.703 0.678
Cl 0.083 0.880 0.404
Cl 0.096 0.620 0.417
Cl 0.096 0.976 0.678
Cl 0.120 0.024 0.203
Cl 0.120 0.596 0.917
Cl 0.178 0.203 0.583
Cl 0.178 0.476 0.596
Cl 0.203 0.120 0.024
Cl 0.203 0.583 0.178
Cl 0.297 0.322 0.917
Cl 0.297 0.476 0.380
Cl 0.322 0.904 0.024
Cl 0.322 0.917 0.297
Cl 0.380 0.297 0.476
Cl 0.380 0.583 0.904
Cl 0.404 0.083 0.880
Cl 0.404 0.822 0.524
Cl 0.417 0.096 0.620
Cl 0.417 0.822 0.797
Cl 0.476 0.380 0.297
Cl 0.476 0.596 0.178
Cl 0.524 0.404 0.822
Cl 0.524 0.620 0.703
Cl 0.583 0.178 0.203
Cl 0.583 0.904 0.380
Cl 0.596 0.178 0.476
Cl 0.596 0.917 0.120
Cl 0.620 0.417 0.096
Cl 0.620 0.703 0.524
Cl 0.678 0.083 0.703
Cl 0.678 0.096 0.976
Cl 0.703 0.524 0.620
Cl 0.703 0.678 0.083
Cl 0.797 0.417 0.822
Cl 0.797 0.880 0.976
Cl 0.822 0.524 0.404
Cl 0.822 0.797 0.417
Cl 0.880 0.404 0.083
Cl 0.880 0.976 0.797
Cl 0.904 0.024 0.322
Cl 0.904 0.380 0.583
Cl 0.917 0.120 0.596
Cl 0.917 0.297 0.322
Cl 0.976 0.678 0.096
Cl 0.976 0.797 0.880

Values from the calculation:
D(E_F) ... 16.0 states/eV/f.u.
Electronic total energy ... -3.74 eV per atom
Space-group type ... Ia-3d (230)

=====

(6)
Material: CoAg3Cl6
Method: DFT, PBE
State: optimized geometry

Lattice parameters (Å, degrees): 8.366 8.366 7.340 90.00 90.00 100.14
Element x y z (fractional)
Co 0.179 0.821 0.500
Co 0.821 0.179 0.000
Ag 0.093 0.306 0.418
Ag 0.306 0.093 0.918
Ag 0.450 0.550 0.891
Ag 0.550 0.450 0.391
Ag 0.694 0.907 0.418
Ag 0.907 0.694 0.918
Cl 0.005 0.995 0.518
Cl 0.058 0.606 0.354
Cl 0.231 0.769 0.793
Cl 0.328 0.340 0.144
Cl 0.340 0.328 0.644
Cl 0.394 0.942 0.354
Cl 0.606 0.058 0.854
Cl 0.660 0.672 0.144
Cl 0.672 0.660 0.644
Cl 0.769 0.231 0.293
Cl 0.942 0.394 0.854
Cl 0.995 0.005 0.018

Values from the calculation:
D(E_F) ... 8.4 states/eV/f.u.
Electronic total energy ... -3.13 eV per atom
Space-group type ... Cmc2_1 (36)

=====

(7)
Material: CoAgCl3
Method: DFT, PBE
State: optimized geometry

Lattice parameters (Å, degrees): 4.740 4.740 4.740 90.00 90.00 90.00
Element x y z (fractional)
Co 0.000 0.000 0.000
Ag 0.500 0.500 0.500
Cl 0.000 0.000 0.500
Cl 0.000 0.500 0.000
Cl 0.500 0.000 0.000

Values from the calculation:
D(E_F) ... 11.8 states/eV/f.u.
Electronic total energy ... -3.32 eV per atom
Space-group type ... Pm-3m (221)

=====

(8)
Material: CoAgCl3
Method: DFT, PBE
State: optimized geometry

Lattice parameters (Å, degrees): 8.888 8.888 6.612 101.72 101.72 86.87
Element x y z (fractional)
Co 0.119 0.282 0.282
Co 0.282 0.119 0.782
Co 0.718 0.881 0.218
Co 0.881 0.718 0.718
Ag 0.221 0.779 0.250
Ag 0.398 0.602 0.750
Ag 0.602 0.398 0.250
Ag 0.779 0.221 0.750
Cl 0.075 0.209 0.577
Cl 0.110 0.640 0.882
Cl 0.209 0.075 0.077
Cl 0.294 0.468 0.362
Cl 0.360 0.890 0.618
Cl 0.468 0.294 0.862
Cl 0.532 0.706 0.138
Cl 0.640 0.110 0.382
Cl 0.706 0.532 0.638
Cl 0.791 0.925 0.923
Cl 0.890 0.360 0.118
Cl 0.925 0.791 0.423

Values from the calculation:
Electronic total energy ... -3.60 eV per atom
Space-group type ... C2/c (15)

=====

| no. | formation energy (no corrections) (meV/atom) |
| --- | --- |
| 1 | -480 |
| 2 | 372 |
| 3 | -432 |
| 4 | -504 |
| 5 | -430 |
| 6 | -455 |
| 7 | -224 |
| 8 | -505 |